No. 1
A plane-wave DFT calculation with PBE was carried out for a relaxed HgBiNF2 crystal.

Summary:
* total magnetization: 0.0000 μB/atom
* ΔE_f (raw): 1.9 kJ per mole of atoms

Cell: 4.4673 4.4673 4.3264 Å, 90.00 90.00 90.00°
Element x y z (fractional)
N 0.0000 0.0000 0.5000
F 0.0000 0.5000 0.0000
F 0.5000 0.0000 0.0000
Bi 0.5000 0.5000 0.5000
Hg 0.0000 0.0000 0.0000


No. 2
A plane-wave DFT calculation with PBE was carried out for a relaxed HgBiNF2 crystal.

Summary:
* total magnetization: 0.0001 μB/atom
* ΔE_f (raw): -46.9 kJ per mole of atoms

Cell: 4.5108 4.5108 4.6388 Å, 90.00 90.00 90.00°
Element x y z (fractional)
N 0.0000 0.0000 0.5000
F 0.0000 0.5000 0.0000
F 0.5000 0.0000 0.0000
Bi 0.0000 0.0000 0.0000
Hg 0.5000 0.5000 0.5000


No. 3
A plane-wave DFT calculation with PBE was carried out for a relaxed Na2HgBiF crystal.

Summary:
* total magnetization: 0.0000 μB/atom
* ΔE_f (raw): -105.1 kJ per mole of atoms

Cell: 4.4783 4.4783 5.8099 Å, 90.00 90.00 90.00°
Element x y z (fractional)
Na 0.0000 0.5000 0.0000
Na 0.5000 0.0000 0.0000
F 0.0000 0.0000 0.0000
Bi 0.5000 0.5000 0.5000
Hg 0.0000 0.0000 0.5000


No. 4
A plane-wave DFT calculation with PBE was carried out for a relaxed HgBiOF2 crystal.

Summary:
* total magnetization: 0.2428 μB/atom
* ΔE_f (raw): -79.7 kJ per mole of atoms

Cell: 4.4663 5.9453 4.4663 Å, 90.00 90.00 90.00°
Each line ends with the local moment (μB).
Element x y z (fractional)
F 0.0000 0.0000 0.5000  0.00
F 0.5000 0.0000 0.0000  0.00
Bi 0.0000 0.0000 0.0000  -0.03
O 0.5000 0.5000 0.5000  0.99
Hg 0.0000 0.5000 0.0000  0.01


No. 5
A plane-wave DFT calculation with PBE was carried out for a relaxed HgBiO2F crystal.

Summary:
* total magnetization: 0.0000 μB/atom
* ΔE_f (raw): -112.2 kJ per mole of atoms

Cell: 3.9534 4.8485 8.8378 Å, 92.17 90.00 90.00°
Element x y z (fractional)
Hg 0.2500 0.2717 0.5709
Hg 0.7500 0.7283 0.4291
Bi 0.2500 0.2698 0.1552
Bi 0.7500 0.7302 0.8448
O 0.7500 0.9554 0.6360
O 0.2500 0.0446 0.3640
O 0.7500 0.4646 0.2386
O 0.2500 0.5354 0.7614
F 0.2500 0.8079 0.0493
F 0.7500 0.1921 0.9507


No. 6
A plane-wave DFT calculation with PBE was carried out for a relaxed HgBiOF2 crystal.

Summary:
* total magnetization: 0.0000 μB/atom
* ΔE_f (raw): -61.2 kJ per mole of atoms

Cell: 4.5885 4.5885 4.2721 Å, 90.00 90.00 90.00°
Element x y z (fractional)
F 0.0000 0.5000 0.0000
F 0.5000 0.0000 0.0000
Bi 0.5000 0.5000 0.5000
O 0.0000 0.0000 0.5000
Hg 0.0000 0.0000 0.0000


No. 7
A plane-wave DFT calculation with PBE was carried out for a relaxed HgBiOF2 crystal.

Summary:
* total magnetization: 0.0000 μB/atom
* ΔE_f (raw): -125.1 kJ per mole of atoms

Cell: 4.6229 4.6229 4.4496 Å, 90.00 90.00 90.00°
Element x y z (fractional)
F 0.0000 0.5000 0.0000
F 0.5000 0.0000 0.0000
Bi 0.0000 0.0000 0.0000
O 0.0000 0.0000 0.5000
Hg 0.5000 0.5000 0.5000


No. 8
A plane-wave DFT calculation with PBE was carried out for a relaxed HgBiO2F crystal.

Summary:
* total magnetization: 0.0000 μB/atom
* ΔE_f (raw): -30.0 kJ per mole of atoms

Cell: 4.2881 4.2881 4.5139 Å, 90.00 90.00 90.00°
Element x y z (fractional)
F 0.0000 0.0000 0.5000
Bi 0.5000 0.5000 0.5000
O 0.0000 0.5000 0.0000
O 0.5000 0.0000 0.0000
Hg 0.0000 0.0000 0.0000


No. 9
A plane-wave DFT calculation with PBE was carried out for a relaxed HgBiO2F crystal.

Summary:
* total magnetization: 0.0000 μB/atom
* ΔE_f (raw): -76.2 kJ per mole of atoms

Cell: 4.3987 4.3987 4.5104 Å, 90.00 90.00 90.00°
Element x y z (fractional)
F 0.0000 0.0000 0.5000
Bi 0.0000 0.0000 0.0000
O 0.0000 0.5000 0.0000
O 0.5000 0.0000 0.0000
Hg 0.5000 0.5000 0.5000


No. 10
A plane-wave DFT calculation with PBE was carried out for a relaxed RbHgBiF6 crystal.

Summary:
* total magnetization: 0.0000 μB/atom
* ΔE_f (raw): -212.5 kJ per mole of atoms

Cell: 6.3400 6.3401 5.6371 Å, 90.01 89.99 59.96°
Element x y z (fractional)
Rb 0.0000 0.0000 0.0001
Hg 0.3334 0.3334 0.4999
Bi 0.6666 0.6667 0.5001
F 0.9917 0.3782 0.2895
F 0.3779 0.9920 0.7104
F 0.6300 0.3783 0.7106
F 0.9914 0.6304 0.7105
F 0.3786 0.6299 0.2893
F 0.6302 0.9912 0.2894


No. 11
A plane-wave DFT calculation with PBE was carried out for a relaxed RbHg2BiF8 crystal.

Summary:
* total magnetization: 0.0000 μB/atom
* ΔE_f (raw): -192.6 kJ per mole of atoms

Cell: 4.2747 6.0725 8.4222 Å, 82.77 87.29 82.40°
Element x y z (fractional)
Rb 0.0000 0.0000 0.5000
Hg 0.4308 0.4579 0.7255
Hg 0.5692 0.5421 0.2745
Bi 0.0000 0.0000 0.0000
F 0.0370 0.7399 0.2367
F 0.5438 0.7905 0.0458
F 0.9180 0.2435 0.1879
F 0.9630 0.2601 0.7633
F 0.4562 0.2095 0.9542
F 0.0820 0.7565 0.8121
F 0.5606 0.7071 0.5266
F 0.4394 0.2929 0.4734


No. 12
A plane-wave DFT calculation with PBE was carried out for a relaxed Hg2BiRuF crystal.

Summary:
* total magnetization: 0.0404 μB/atom
* ΔE_f (raw): -0.3 kJ per mole of atoms

Cell: 5.2581 5.0793 5.2581 Å, 90.00 90.00 90.00°
Each line ends with the local moment (μB).
Element x y z (fractional)
Ru 0.0000 0.0000 0.0000  0.24
F 0.5000 0.5000 0.5000  -0.03
Bi 0.0000 0.5000 0.0000  -0.02
Hg 0.0000 0.0000 0.5000  0.01
Hg 0.5000 0.0000 0.0000  0.00


No. 13
A plane-wave DFT calculation with PBE was carried out for a relaxed Sc2HgBiF crystal.

Summary:
* total magnetization: 0.0000 μB/atom
* ΔE_f (raw): -29.1 kJ per mole of atoms

Cell: 5.6390 4.4780 5.6390 Å, 90.00 90.00 90.00°
Element x y z (fractional)
Sc 0.0000 0.0000 0.5000
Sc 0.5000 0.0000 0.0000
F 0.0000 0.5000 0.0000
Bi 0.0000 0.0000 0.0000
Hg 0.5000 0.5000 0.5000


No. 14
A plane-wave DFT calculation with PBE was carried out for a relaxed SiHgBiF2 crystal.

Summary:
* total magnetization: 0.0000 μB/atom
* ΔE_f (raw): -32.9 kJ per mole of atoms

Cell: 4.3905 6.1671 4.3905 Å, 90.00 90.00 90.00°
Element x y z (fractional)
Si 0.5000 0.5000 0.5000
F 0.0000 0.0000 0.5000
F 0.5000 0.0000 0.0000
Bi 0.0000 0.5000 0.0000
Hg 0.0000 0.0000 0.0000


No. 15
A plane-wave DFT calculation with PBE was carried out for a relaxed HgBiTeF2 crystal.

Summary:
* total magnetization: 0.0000 μB/atom
* ΔE_f (raw): -119.8 kJ per mole of atoms

Cell: 4.5689 4.5689 6.2345 Å, 90.00 90.00 90.00°
Element x y z (fractional)
F 0.0000 0.5000 0.0000
F 0.5000 0.0000 0.0000
Te 0.0000 0.0000 0.5000
Bi 0.0000 0.0000 0.0000
Hg 0.5000 0.5000 0.5000


No. 16
A plane-wave DFT calculation with PBE was carried out for a relaxed YHgBiF2 crystal.

Summary:
* total magnetization: 0.0000 μB/atom
* ΔE_f (raw): -212.3 kJ per mole of atoms

Cell: 4.3789 4.3789 6.6035 Å, 90.00 90.00 90.00°
Element x y z (fractional)
Y 0.0000 0.0000 0.0000
F 0.0000 0.5000 0.0000
F 0.5000 0.0000 0.0000
Bi 0.0000 0.0000 0.5000
Hg 0.5000 0.5000 0.5000


No. 17
A plane-wave DFT calculation with PBE was carried out for a relaxed ZrHgBiF2 crystal.

Summary:
* total magnetization: 0.0657 μB/atom
* ΔE_f (raw): -166.5 kJ per mole of atoms

Cell: 4.3204 4.3204 6.0303 Å, 90.00 90.00 90.00°
Each line ends with the local moment (μB).
Element x y z (fractional)
F 0.0000 0.5000 0.0000  0.00
F 0.5000 0.0000 0.0000  0.00
Bi 0.0000 0.0000 0.5000  -0.04
Zr 0.0000 0.0000 0.0000  0.29
Hg 0.5000 0.5000 0.5000  0.00


No. 18
A plane-wave DFT calculation with PBE was carried out for a relaxed HoBiF crystal.

Summary:
* total magnetization: 0.0000 μB/atom
* ΔE_f (raw): -195.3 kJ per mole of atoms

Cell: 3.7074 7.2130 6.1645 Å, 74.49 72.50 75.11°
Element x y z (fractional)
Bi 0.4016 0.8676 0.3292
Bi 0.5984 0.1324 0.6708
Ho 0.1782 0.7458 0.8977
Ho 0.8218 0.2542 0.1023
F 0.7867 0.5715 0.8551
F 0.2133 0.4285 0.1449


No. 19
A plane-wave DFT calculation with PBE was carried out for a relaxed HoBi2F11 crystal.

Summary:
* total magnetization: 0.0000 μB/atom
* ΔE_f (raw): -253.5 kJ per mole of atoms

Cell: 8.2236 8.5438 8.5438 Å, 74.05 61.23 61.23°
Element x y z (fractional)
Ho 0.7500 0.7500 0.7500
Ho 0.2500 0.2500 0.2500
Bi 0.6459 0.6816 0.3184
Bi 0.3541 0.3184 0.6816
Bi 0.8541 0.1816 0.8184
Bi 0.1459 0.8184 0.1816
F 0.6475 0.7063 0.5662
F 0.3525 0.2937 0.4338
F 0.0801 0.5662 0.7063
F 0.8525 0.9338 0.7937
F 0.9199 0.4338 0.2937
F 0.1475 0.0662 0.2063
F 0.4199 0.7937 0.9338
F 0.5801 0.2063 0.0662
F 0.5000 0.5000 0.5000
F 0.0000 0.0000 0.0000
F 0.8691 0.7868 0.2132
F 0.1309 0.2132 0.7868
F 0.6309 0.2868 0.7132
F 0.3691 0.7132 0.2868
F 0.4539 0.9672 0.3209
F 0.5461 0.0328 0.6791
F 0.2579 0.3209 0.9672
F 0.0461 0.1791 0.5328
F 0.7421 0.6791 0.0328
F 0.9539 0.8209 0.4672
F 0.2421 0.5328 0.1791
F 0.7579 0.4672 0.8209


No. 20
A plane-wave DFT calculation with PBE was carried out for a relaxed HoBiF crystal.

Summary:
* total magnetization: 0.0000 μB/atom
* ΔE_f (raw): -192.5 kJ per mole of atoms

Cell: 4.9335 3.9557 3.9557 Å, 120.00 90.00 90.00°
Element x y z (fractional)
F 0.1666 0.3333 0.6667
Bi 0.6667 0.6667 0.3333
Ho 0.1667 0.0000 0.0000